1.
DFT (PBE) results for a geometry-optimized CaSc3Hg structure.

For the formation energy from the elements, the calculation gives 1.0626 eV per atom. The total energy is -3.20 eV/atom. The density of states at the Fermi level comes out at 4.13 states/eV per cell. The symmetry is Pm-3m, No. 221.

Cell: 5.1682 5.1682 5.1682 Å, 90.00 90.00 90.00°
Closest atoms and distances in Å follow each position.
Atoms (fractional coordinates):
Ca 0.0000 0.0000 0.0000  6 Sc 2.58
Sc 0.0000 0.0000 0.5000  2 Ca 2.58
Sc 0.0000 0.5000 0.0000  2 Ca 2.58
Sc 0.5000 0.0000 0.0000  2 Ca 2.58
Hg 0.5000 0.5000 0.5000  12 Sc 3.65

2.
DFT (PBE) results for a geometry-optimized CsHg2Os structure.

For the formation energy from the elements, the calculation gives 1.2325 eV per atom. The total energy is -1.94 eV/atom. The density of states at the Fermi level comes out at 2.59 states/eV per cell. The symmetry is Fm-3m, No. 225.

Cell: 5.5409 5.5409 5.5409 Å, 60.00 60.00 60.00°
Closest atoms and distances in Å follow each position.
Atoms (fractional coordinates):
Cs 0.0000 0.0000 0.0000  8 Hg 3.39
Hg 0.2500 0.2500 0.2500  4 Os 3.39, 4 Cs 3.39
Hg 0.7500 0.7500 0.7500  4 Os 3.39, 4 Cs 3.39
Os 0.5000 0.5000 0.5000  8 Hg 3.39

3.
DFT (PBE) results for a geometry-optimized Sr5Nd3S8 structure.

The value obtained for the uncorrected formation energy is -2.069 eV/atom. The total energy is -5.55 eV/atom. The density of states at the Fermi level comes out at 4.35 states/eV per cell. The symmetry is R-3m, No. 166.

Cell: 8.4059 8.4059 8.4059 Å, 59.50 59.50 59.50°
Closest atoms and distances in Å follow each position.
Atoms (fractional coordinates):
Sr 0.0000 0.0000 0.0000  6 S 2.96
Sr 0.0000 0.5000 0.5000  6 S 3.00-3.01
Sr 0.5000 0.0000 0.5000  6 S 3.00-3.01
Sr 0.5000 0.5000 0.0000  6 S 3.00-3.01
Sr 0.5000 0.5000 0.5000  6 S 2.96
Nd 0.0000 0.0000 0.5000  6 S 2.91-2.92
Nd 0.0000 0.5000 0.0000  6 S 2.91-2.92
Nd 0.5000 0.0000 0.0000  6 S 2.91-2.92
S 0.2416 0.7501 0.7501  2 Nd 2.91, 4 Sr 2.96-3.01
S 0.2467 0.2467 0.2467  3 Nd 2.92, 3 Sr 3.00
S 0.2499 0.2499 0.7584  2 Nd 2.91, 4 Sr 2.96-3.01
S 0.2499 0.7584 0.2499  2 Nd 2.91, 4 Sr 2.96-3.01
S 0.7501 0.2416 0.7501  2 Nd 2.91, 4 Sr 2.96-3.01
S 0.7501 0.7501 0.2416  2 Nd 2.91, 4 Sr 2.96-3.01
S 0.7533 0.7533 0.7533  3 Nd 2.92, 3 Sr 3.00
S 0.7584 0.2499 0.2499  2 Nd 2.91, 4 Sr 2.96-3.01

4.
DFT (PBE) results for a geometry-optimized Tb3Sm2Sn2 structure.

For the formation energy from the elements, the calculation gives -0.2823 eV per atom. The total energy is -4.76 eV/atom. The density of states at the Fermi level comes out at 8.01 states/eV per cell. The symmetry is C2/m, No. 12.

Cell: 8.5589 8.5589 8.0225 Å, 115.31 115.31 23.77°
Closest atoms and distances in Å follow each position.
Atoms (fractional coordinates):
Tb 0.0000 0.0000 0.0000  4 Sn 3.21, 4 Tb 3.23-3.53, 2 Sm 3.43
Tb 0.2126 0.2126 0.1430  5 Tb 3.23-3.53, 3 Sn 3.25-3.33, 2 Sm 3.60
Tb 0.7874 0.7874 0.8570  5 Tb 3.23-3.53, 3 Sn 3.25-3.33, 2 Sm 3.60
Sm 0.1181 0.1181 0.4738  4 Sn 3.26-3.50, 4 Tb 3.43-3.64, 2 Sm 3.53
Sm 0.8819 0.8819 0.5262  4 Sn 3.26-3.50, 4 Tb 3.43-3.64, 2 Sm 3.53
Sn 0.4207 0.4207 0.2272  5 Tb 3.21-3.33, 4 Sm 3.26-3.50, 2 Sn 3.53
Sn 0.5793 0.5793 0.7728  5 Tb 3.21-3.33, 4 Sm 3.26-3.50, 2 Sn 3.53

no.,magnetic moment (μB per formula unit)
1,0.0
2,2.8
3,0.0
4,0.4